Entry from Alexandria via LeMat-Bulk: crystalline TmLuAlNi at its relaxed geometry (PBE).

abc: 4.8781 4.8781 4.8781
angles: 60.00 60.00 60.00
Closest atoms and distances in Å follow each position.
Atoms (fractional coordinates):
Al1 0.7500 0.7500 0.7500  4 Tm 2.99, 4 Lu 2.99
Lu1 0.5000 0.5000 0.5000  4 Ni 2.99, 4 Al 2.99
Ni1 0.2500 0.2500 0.2500  4 Tm 2.99, 4 Lu 2.99
Tm1 0.0000 0.0000 0.0000  4 Al 2.99, 4 Ni 2.99

For the size of the total moment, the calculation gives 0.00 μB per atom. Its symmetry is F-43m. As for the crystal system: cubic. Its electronic total energy is -4.99 eV per atom. The value obtained for the volume is 20.5 A^3/atom.